VASP calculation (PBE-GGA) on crystalline SrGdIrAu at its relaxed geometry.

The formation energy comes out at -2.1 eV/f.u.

It has space group F-43m (No. 216), with a = 7.2134 Å, b = 7.2134 Å, c = 7.2134 Å, α = 90.00°, β = 90.00° and γ = 90.00°. The asymmetric unit holds Sr at (0.0000, 0.0000, 0.0000), Gd at (0.0000, 0.0000, 0.5000), Ir at (0.2500, 0.2500, 0.7500) and Au at (0.2500, 0.2500, 0.2500).